No. 1
Hg2PdPbBr after structural relaxation, computed with PBE-GGA.

Cell lengths 5.297, 5.297, 5.391 Å; angles 90.00, 90.00, 90.00 degrees
Space group P4/mmm (No. 123)
Asymmetric unit:
Hg1 0.000 0.500 0.000 (multiplicity 2)
Pd1 0.000 0.000 0.000 (multiplicity 1)
Pb1 0.000 0.000 0.500 (multiplicity 1)
Br1 0.500 0.500 0.500 (multiplicity 1)

For the raw formation energy, the calculation gives -99 kJ/mol of formula units. The calculation puts the mass density at 8.7 g/cm³. For the total magnetization, the calculation gives 0.00 μB/cell.

=====

No. 2
Ac3PmN after structural relaxation, computed with PBE-GGA.

Cell lengths 5.453, 5.453, 5.453 Å; angles 90.00, 90.00, 90.00 degrees
Space group Pm-3m (No. 221)
Asymmetric unit:
Ac1 0.000 0.000 0.500 (multiplicity 3)
Pm1 0.500 0.500 0.500 (multiplicity 1)
N1 0.000 0.000 0.000 (multiplicity 1)

For the raw formation energy, the calculation gives -188 kJ/mol of formula units. The calculation puts the mass density at 8.6 g/cm³. For the total magnetization, the calculation gives 0.00 μB/cell.

=====

No. 3
Cr3P after structural relaxation, computed with PBE-GGA.

Cell lengths 2.7927, 2.7927, 7.0992 Å; angles 90.00, 90.00, 120.00 degrees
Space group P-6m2 (No. 187)
Asymmetric unit:
Cr1 0.0000 0.0000 0.0000 (multiplicity 1)
Cr2 0.3333 0.6667 0.2653 (multiplicity 2)
P1 0.0000 0.0000 0.5000 (multiplicity 1)

Its offset from the most stable computed form is 402 meV per atom. The calculation puts the mass density at 6.5 g/cm³. For the total magnetization, the calculation gives 0.00 μB/cell.

=====

No. 4
Ac6Co2P after structural relaxation, computed with PBE-GGA.

Cell lengths 7.226, 7.626, 13.040 Å; angles 90.00, 121.36, 90.00 degrees
Space group P2_1/c (No. 14)
Asymmetric unit:
Ac1 0.081 0.072 0.247 (multiplicity 4)
Ac2 0.279 0.674 0.093 (multiplicity 4)
Ac3 0.411 0.179 0.066 (multiplicity 4)
Co1 0.323 0.105 0.794 (multiplicity 4)
P1 0.000 0.000 0.000 (multiplicity 2)

The calculation puts the total energy at -5.1468 eV per atom. The calculation puts the mass density at 8.2 g/cm³. For the total magnetization, the calculation gives 0.00 μB/cell.

=====

No. 5
YP2Br after structural relaxation, computed with PBE-GGA.

Cell lengths 3.924, 3.924, 10.593 Å; angles 90.00, 90.00, 90.00 degrees
Space group I4/mmm (No. 139)
Asymmetric unit:
Y1 0.000 0.000 0.000 (multiplicity 2)
P1 0.000 0.500 0.250 (multiplicity 4)
Br1 0.000 0.000 0.500 (multiplicity 2)

Its offset from the most stable computed form is 472 meV per atom. For the raw formation energy, the calculation gives -167 kJ/mol of formula units. The calculation puts the mass density at 4.7 g/cm³. For the total magnetization, the calculation gives 0.00 μB/cell.

=====

No. 6
TbNd2Ga6 after structural relaxation, computed with PBE-GGA.

Cell lengths 4.397, 7.134, 13.603 Å; angles 90.00, 90.00, 90.00 degrees
Space group Immm (No. 71)
Asymmetric unit:
Tb1 0.000 0.000 0.000 (multiplicity 2)
Nd1 0.000 0.500 0.130 (multiplicity 4)
Ga1 0.000 0.191 0.500 (multiplicity 4)
Ga2 0.000 0.313 0.323 (multiplicity 8)

Its offset from the most stable computed form is 241 meV per atom. The calculation puts the mass density at 6.7 g/cm³. For the total magnetization, the calculation gives 0.00 μB/cell.

=====

No. 7
RbTlI2N after structural relaxation, computed with PBE-GGA.

Cell lengths 6.474, 6.474, 4.541 Å; angles 90.00, 90.00, 90.00 degrees
Space group P4/mmm (No. 123)
Asymmetric unit:
Rb1 0.000 0.000 0.000 (multiplicity 1)
Tl1 0.500 0.500 0.500 (multiplicity 1)
I1 0.000 0.500 0.500 (multiplicity 2)
N1 0.500 0.500 0.000 (multiplicity 1)

Its offset from the most stable computed form is 0 meV per atom. For the raw formation energy, the calculation gives 39 kJ/mol of formula units. The calculation puts the mass density at 4.9 g/cm³. For the total magnetization, the calculation gives 1.70 μB/cell.

=====

No. 8
Ba2SrGaCu after structural relaxation, computed with PBE-GGA.

Cell lengths 6.368, 6.368, 4.826 Å; angles 90.00, 90.00, 90.00 degrees
Space group P4/mmm (No. 123)
Asymmetric unit:
Ba1 0.000 0.500 0.000 (multiplicity 2)
Sr1 0.000 0.000 0.500 (multiplicity 1)
Ga1 0.500 0.500 0.500 (multiplicity 1)
Cu1 0.500 0.500 0.000 (multiplicity 1)

The calculation puts the total energy at -2.5515 eV per atom. The calculation puts the mass density at 4.2 g/cm³. For the total magnetization, the calculation gives 0.00 μB/cell.

=====

> What is the formula in the sixth record?

TbNd2Ga6